Entry 1:
# CoAgHg2

Crystalline CoAgHg2 at its relaxed geometry (GGA-PBE, Alexandria).

## Properties
The formation energy comes out at 368 meV per atom. As for the energy above the lowest structure with this stoichiometry: 0.042 eV per atom. The density is 13049 kg/m3. The calculation puts the density of states at the Fermi level at 2.971 states/eV/cell. Its symmetry is P4/mmm (123).

Lattice parameters (Å, degrees): 4.4318 4.4318 3.6801 90.00 90.00 90.00
With the nearest neighbours (Å) after each atom.
Atoms (fractional coordinates):
Co: 0.0000 0.0000 0.0000  8 Hg 2.88, 4 Ag 3.13
Ag: 0.5000 0.5000 0.0000  8 Hg 2.88, 4 Co 3.13
Hg: 0.0000 0.5000 0.5000  4 Ag 2.88, 4 Co 2.88, 4 Hg 3.13
Hg: 0.5000 0.0000 0.5000  4 Ag 2.88, 4 Co 2.88, 4 Hg 3.13



Entry 2:
# Ba3InSe4

Crystalline Ba3InSe4 at its relaxed geometry (GGA-PBE, Alexandria).

## Properties
The formation energy without anion corrections is -1.498 eV per atom. The density is 4118 kg/m3. The calculation puts the density of states at the Fermi level at 7.455 states/eV/cell. Its symmetry is Pmn2_1 (31).

Lattice parameters (Å, degrees): 10.9288 9.4380 6.5887 90.00 90.00 90.00
With the nearest neighbours (Å) after each atom.
Atoms (fractional coordinates):
Ba: 0.0000 0.1487 0.0000  5 Se 3.13-3.31
Ba: 0.2456 0.3311 0.5007  5 Se 3.13-3.31
Ba: 0.2544 0.6689 0.0007  5 Se 3.13-3.31
Ba: 0.5000 0.8513 0.5000  5 Se 3.13-3.31
Ba: 0.7456 0.6689 0.0007  5 Se 3.13-3.31
Ba: 0.7544 0.3311 0.5007  5 Se 3.13-3.31
In: 0.0000 0.8236 0.4690  4 Se 2.79-2.98
In: 0.5000 0.1764 0.9690  4 Se 2.79-2.98
Se: 0.0000 0.1359 0.5015  1 In 2.96, 4 Ba 3.25-3.31
Se: 0.0000 0.8181 0.0450  1 In 2.79
Se: 0.2402 0.6770 0.5026  1 In 2.98, 4 Ba 3.27-3.31
Se: 0.2598 0.3230 0.0026  1 In 2.98, 4 Ba 3.27-3.31
Se: 0.5000 0.1819 0.5450  1 In 2.79
Se: 0.5000 0.8641 0.0015  1 In 2.96, 4 Ba 3.25-3.31
Se: 0.7402 0.3230 0.0026  1 In 2.98, 4 Ba 3.27-3.31
Se: 0.7598 0.6770 0.5026  1 In 2.98, 4 Ba 3.27-3.31



Entry 3:
# MnZn2Ir

Crystalline MnZn2Ir at its relaxed geometry (GGA-PBE, Alexandria).

## Properties
The formation energy comes out at -93 meV per atom. The density is 11508 kg/m3. The calculation puts the density of states at the Fermi level at 1.749 states/eV/cell. Its symmetry is P4mm (99).

Lattice parameters (Å, degrees): 2.7265 2.7265 7.3365 90.00 90.00 90.00
With the nearest neighbours (Å) after each atom.
Atoms (fractional coordinates):
Mn: 0.0000 0.0000 0.0000  4 Ir 2.50, 4 Zn 2.62, 4 Mn 2.73
Zn: 0.0000 0.0000 0.5189  8 Zn 2.73-2.80, 4 Ir 2.73
Zn: 0.5000 0.5000 0.2426  4 Mn 2.62, 8 Zn 2.73-2.80
Ir: 0.5000 0.5000 0.7824  4 Mn 2.50, 4 Ir 2.73, 4 Zn 2.73



Entry 4:
# CaPrS2

Crystalline CaPrS2 at its relaxed geometry (GGA-PBE, Alexandria).

## Properties
The formation energy without anion corrections is -1.945 eV per atom. As for the energy above the lowest structure with this stoichiometry: 0.109 eV per atom. The density is 4191 kg/m3. The calculation puts the density of states at the Fermi level at 5.979 states/eV/cell. Its symmetry is R3m (160).

Lattice parameters (Å, degrees): 3.9733 3.9733 21.3095 90.00 90.00 120.00
With the nearest neighbours (Å) after each atom.
Atoms (fractional coordinates):
Ca: 0.0000 0.0000 0.0000  6 S 2.82-2.95
Ca: 0.3333 0.6667 0.6667  6 S 2.82-2.95
Ca: 0.6667 0.3333 0.3333  6 S 2.82-2.95
Pr: 0.0000 0.0000 0.1733  6 S 2.89-2.94
Pr: 0.3333 0.6667 0.8400  6 S 2.89-2.94
Pr: 0.6667 0.3333 0.5067  6 S 2.89-2.94
S: 0.0000 0.0000 0.5893  3 Ca 2.82, 3 Pr 2.89
S: 0.0000 0.0000 0.7538  3 Pr 2.94, 3 Ca 2.95
S: 0.3333 0.6667 0.2560  3 Ca 2.82, 3 Pr 2.89
S: 0.3333 0.6667 0.4205  3 Pr 2.94, 3 Ca 2.95
S: 0.6667 0.3333 0.0872  3 Pr 2.94, 3 Ca 2.95
S: 0.6667 0.3333 0.9226  3 Ca 2.82, 3 Pr 2.89



Entry 5:
# TlIn2ClF

Crystalline TlIn2ClF at its relaxed geometry (GGA-PBE, Alexandria).

## Properties
The formation energy without anion corrections is -0.769 eV per atom. The density is 5498 kg/m3. The calculation puts the density of states at the Fermi level at 1.560 states/eV/cell. Its symmetry is P4/mmm (123).

Lattice parameters (Å, degrees): 5.0748 5.0748 5.7290 90.00 90.00 90.00
With the nearest neighbours (Å) after each atom.
Atoms (fractional coordinates):
Tl: 0.0000 0.0000 0.0000  2 F 2.86
In: 0.0000 0.5000 0.5000  2 F 2.54
In: 0.5000 0.0000 0.5000  2 F 2.54
Cl: 0.5000 0.5000 0.0000  4 Tl 3.59, 8 In 3.83
F: 0.0000 0.0000 0.5000  4 In 2.54



Entry 6:
# KNa4Bi4

Crystalline KNa4Bi4 at its relaxed geometry (GGA-PBE, Alexandria).

## Properties
The formation energy comes out at -162 meV per atom. The density is 4489 kg/m3. The calculation puts the density of states at the Fermi level at 12.298 states/eV/cell. Its symmetry is P4_2/n (86).

Lattice parameters (Å, degrees): 10.5465 10.5465 6.4319 90.00 90.00 90.00
With the nearest neighbours (Å) after each atom.
Atoms (fractional coordinates):
K: 0.2500 0.2500 0.2500  4 Bi 3.78
K: 0.7500 0.7500 0.7500  4 Bi 3.78
Na: 0.0940 0.6274 0.1225  5 Bi 3.23-3.34
Na: 0.1274 0.9060 0.6225  5 Bi 3.23-3.34
Na: 0.3726 0.5940 0.6225  5 Bi 3.23-3.34
Na: 0.4060 0.8726 0.1225  5 Bi 3.23-3.34
Na: 0.5940 0.1274 0.8775  5 Bi 3.23-3.34
Na: 0.6274 0.4060 0.3775  5 Bi 3.23-3.34
Na: 0.8726 0.0940 0.3775  5 Bi 3.23-3.34
Na: 0.9060 0.3726 0.8775  5 Bi 3.23-3.34
Bi: 0.0658 0.5985 0.6239  1 Bi 2.96, 4 Na 3.23-3.31
Bi: 0.0985 0.9342 0.1239  1 Bi 2.96, 4 Na 3.23-3.31
Bi: 0.4015 0.5658 0.1239  1 Bi 2.96, 4 Na 3.23-3.31
Bi: 0.4342 0.9015 0.6239  1 Bi 2.96, 4 Na 3.23-3.31
Bi: 0.5658 0.0985 0.3761  1 Bi 2.96, 4 Na 3.23-3.31
Bi: 0.5985 0.4342 0.8761  1 Bi 2.96, 4 Na 3.23-3.31
Bi: 0.9015 0.0658 0.8761  1 Bi 2.96, 4 Na 3.23-3.31
Bi: 0.9342 0.4015 0.3761  1 Bi 2.96, 4 Na 3.23-3.31